DFT (PBE-GGA) results for crystalline Li3LaBe at its relaxed geometry.

Geometry as CIF:
```
data_Li3LaBe
_cell_length_a 4.713
_cell_length_b 4.713
_cell_length_c 4.713
_cell_angle_alpha 90.00
_cell_angle_beta 90.00
_cell_angle_gamma 90.00
_space_group_name_H-M_alt 'P m -3 m'
_space_group_IT_number 221
_space_group_name_Hall '-P 4 2 3'
loop_
_atom_site_label
_atom_site_type_symbol
_atom_site_fract_x
_atom_site_fract_y
_atom_site_fract_z
Li1 Li 0.000 0.000 0.500
La1 La 0.500 0.500 0.500
Be1 Be 0.000 0.000 0.000
```

Total energy ... -2.553 eV/atom
N(E_F) ... 0.790 states/eV/atom
Excess energy over the best structure of this formula in the dataset ... 0.0 meV/atom
Formation energy from the elements ... 0.33 eV per atom

=====

DFT (PBE-GGA) results for crystalline CeNbSi2 at its relaxed geometry.

Geometry as CIF:
```
data_CeNbSi2
_cell_length_a 3.010
_cell_length_b 6.403
_cell_length_c 8.091
_cell_angle_alpha 90.00
_cell_angle_beta 90.00
_cell_angle_gamma 90.00
_space_group_name_H-M_alt 'A m m 2'
_space_group_IT_number 38
loop_
_space_group_symop_operation_xyz
'x,y,z'
'-x,-y,z'
'-x,y,z'
'x,-y,z'
'x,y+1/2,z+1/2'
'-x,-y+1/2,z+1/2'
'-x,y+1/2,z+1/2'
'x,-y+1/2,z+1/2'
loop_
_atom_site_label
_atom_site_type_symbol
_atom_site_fract_x
_atom_site_fract_y
_atom_site_fract_z
Ce1 Ce 0.000 0.000 0.000
Nb1 Nb 0.500 0.000 0.591
Si1 Si 0.500 0.188 0.298
```

Energy relative to the elements, uncorrected ... -0.280 eV per atom
Total energy ... -6.993 eV/atom
N(E_F) ... 1.341 states/eV/atom
Excess energy over the best structure of this formula in the dataset ... 99.4 meV/atom

=====

DFT (PBE-GGA) results for crystalline CoAs at its relaxed geometry.

Geometry as CIF:
```
data_CoAs
_cell_length_a 8.8331
_cell_length_b 8.8331
_cell_length_c 3.5095
_cell_angle_alpha 90.00
_cell_angle_beta 90.00
_cell_angle_gamma 120.00
_space_group_name_H-M_alt 'P 63/m'
_space_group_IT_number 176
_space_group_name_Hall '-P 6c'
loop_
_atom_site_label
_atom_site_type_symbol
_atom_site_fract_x
_atom_site_fract_y
_atom_site_fract_z
Co1 Co 0.0701 0.4424 0.2500
As1 As 0.0901 0.7146 0.2500
```

Total energy ... -5.890 eV/atom
N(E_F) ... 0.602 states/eV/atom
Formation energy from the elements ... -0.01 eV per atom

=====

DFT (PBE-GGA) results for crystalline PmSm3Pu2Se6 at its relaxed geometry.

Geometry as CIF:
```
data_PmSm3Pu2Se6
_cell_length_a 7.199
_cell_length_b 12.479
_cell_length_c 7.242
_cell_angle_alpha 90.00
_cell_angle_beta 109.36
_cell_angle_gamma 90.00
_space_group_name_H-M_alt 'C 1 2/m 1'
_space_group_IT_number 12
loop_
_space_group_symop_operation_xyz
'x,y,z'
'-x,-y,-z'
'-x,y,-z'
'x,-y,z'
'x+1/2,y+1/2,z'
'-x+1/2,-y+1/2,-z'
'-x+1/2,y+1/2,-z'
'x+1/2,-y+1/2,z'
loop_
_atom_site_label
_atom_site_type_symbol
_atom_site_fract_x
_atom_site_fract_y
_atom_site_fract_z
Pm1 Pm 0.000 0.000 0.000
Sm1 Sm 0.000 0.165 0.500
Sm2 Sm 0.000 0.500 0.500
Pu1 Pu 0.000 0.333 0.000
Se1 Se 0.246 0.500 0.248
Se2 Se 0.249 0.332 0.751
```

Energy relative to the elements, uncorrected ... -1.745 eV per atom
Total energy ... -7.451 eV/atom
N(E_F) ... 1.633 states/eV/atom